Here is a geometry-optimized Tl10Hg3Cl16 structure from the Alexandria database. Energies are from PBE-GGA.

Computed properties:
Raw total energy in eV/cell: -79.80
Total moment in μB/cell: 0.00

Cell and atoms, written as POSCAR:
```
Tl10Hg3Cl16
1.0
-1.655 -8.373 1.711
6.070 0.075 6.239
-10.571 7.456 4.123
Cl Hg Tl
16 3 10
Cartesian
-4.506 -1.494 10.476
-1.649 0.652 1.597
4.679 -2.667 5.921
-0.263 -5.631 2.028
2.668 -7.148 5.674
1.748 -1.150 2.275
0.611 -3.517 5.521
-6.766 2.676 6.551
-3.043 3.371 6.940
-1.485 0.894 9.560
-4.939 -0.664 6.629
-7.313 -3.518 5.343
-3.113 -4.213 5.133
-4.671 -1.736 2.512
-1.216 -0.177 5.444
1.157 2.676 6.730
0.000 0.000 0.000
-5.009 -2.533 4.904
-1.147 1.691 7.168
-5.515 5.479 6.990
-8.286 -0.021 6.374
-5.145 1.589 8.961
-8.657 3.869 4.403
-0.640 -6.321 5.083
2.131 -0.821 5.699
-1.011 -2.431 3.112
2.501 -4.711 7.670
-1.542 -2.666 7.606
-4.613 1.824 4.467
```

Here is a geometry-optimized TbPF structure from the Alexandria database. Energies are from PBE-GGA.

Computed properties:
Raw total energy in eV/cell: -17.26
Total moment in μB/cell: 0.00

Cell and atoms, written as POSCAR:
```
TbPF
1.0
3.248 0.000 0.000
0.000 3.248 0.000
-1.624 -1.624 4.960
P Tb F
1 1 1
Cartesian
0.000 0.000 0.075
1.624 1.624 2.022
0.000 0.000 2.863
```

Here is a geometry-optimized Mg3TcB structure from the Alexandria database. Energies are from PBE-GGA.

Computed properties:
Raw total energy in eV/cell: -18.00
Total moment in μB/cell: 2.90
ΔH_f (0 K) in kcal/mol of atoms: 17.64

Cell and atoms, written as POSCAR:
```
Mg3TcB
1.0
-3.197 2.393 2.022
-1.603 -3.732 1.882
2.692 0.620 3.522
Mg B Tc
3 1 1
Cartesian
-0.801 -1.866 0.941
1.346 0.310 1.761
-1.599 1.196 1.011
0.000 0.000 0.000
-1.054 -0.359 3.713
```

Here is a geometry-optimized Th2AsSe2 structure from the Alexandria database. Energies are from PBE-GGA.

Computed properties:
Raw total energy in eV/cell: -25.26
Total moment in μB/cell: 0.00

Cell and atoms, written as POSCAR:
```
Th2AsSe2
1.0
3.240 0.000 0.000
0.000 3.240 0.000
0.000 0.000 16.119
Th As Se
2 1 2
Cartesian
1.620 1.620 2.955
1.620 1.620 13.164
1.620 1.620 0.000
1.620 1.620 10.322
1.620 1.620 5.797
```

Here is a geometry-optimized PmPrGe2Rh2 structure from the Alexandria database. Energies are from PBE-GGA.

Computed properties:
Raw total energy in eV/cell: -38.54
Total moment in μB/cell: 0.00
ΔH_f (0 K) in kcal/mol of atoms: -19.50

Cell and atoms, written as POSCAR:
```
PmPrGe2Rh2
1.0
-0.896 0.439 4.271
0.157 -3.992 -1.809
7.427 -0.435 1.604
Pm Pr Ge Rh
1 1 2 2
Cartesian
3.714 -0.217 0.802
0.000 0.000 0.000
1.711 -2.627 0.629
4.977 -1.361 3.437
5.302 -2.837 1.405
1.385 -1.151 2.661
```

Here is a geometry-optimized KAl2Ni structure from the Alexandria database. Energies are from PBE-GGA.

Computed properties:
Raw total energy in eV/cell: -14.48
Total moment in μB/cell: 0.00
ΔH_f (0 K) in kcal/mol of atoms: -0.65

Cell and atoms, written as POSCAR:
```
KAl2Ni
1.0
3.025 0.007 0.000
-0.004 3.025 0.000
0.000 0.000 8.518
Ni K Al
1 1 2
Cartesian
1.510 1.516 6.388
1.510 1.516 2.129
0.000 0.000 7.774
0.000 0.000 5.003
```